A plane-wave DFT calculation with PBE was carried out for crystalline LiPa2Te3 at its relaxed geometry.

Unit cell a=9.566 b=9.566 c=9.566 alpha=154.04 beta=154.04 gamma=37.05
Atoms (fractional coordinates):
Li 0.000 0.000 0.000
Pa 0.328 0.328 0.000
Pa 0.672 0.672 0.000
Te 0.156 0.156 0.000
Te 0.500 0.500 0.000
Te 0.844 0.844 0.000

Size of the total moment ... 0.23 μB per atom
ΔE_f (raw) ... -73 kJ per mole of atoms
Theoretical density ... 8.44 g cm⁻³
Uncorrected energy ... -5.814 eV per atom
DOS(E_F) ... 9.592 states/eV/f.u.